First-principles (PBE+U) data for an optimized crystal structure of PrHf2VO8, as listed in the Alexandria database.

Summary:
E_tot (eV/atom): -8.89
Volume (Å³/cell): 314.5

Cell lengths 6.802, 7.042, 6.565 Å; angles 90.00, 90.00, 90.00 degrees
Space group Cmmm (No. 65)
Asymmetric unit:
Pr (0.000, 0.000, 0.000)
Hf (0.000, 0.500, 0.259)
V (0.000, 0.000, 0.500)
O (0.000, 0.294, 0.500)
O (0.000, 0.327, 0.000)
O (0.195, 0.000, 0.298)